1.
An optimized crystal structure of Ca2ZrRe. Source: Alexandria via LeMat-Bulk, functional GGA-PBE. Values from VASP.

The structure in Quantum ESPRESSO input format:
```
&SYSTEM
  ibrav = 0, nat = 4, ntyp = 3
/
ATOMIC_SPECIES
Re 186.21 Re.upf
Ca 40.08 Ca.upf
Zr 91.22 Zr.upf
ATOMIC_POSITIONS crystal
Re 0.503 0.503 0.425
Ca 0.993 0.993 0.060
Ca 0.774 0.774 0.687
Zr 0.230 0.230 0.327
CELL_PARAMETERS angstrom
4.765 -0.003 0.000
3.588 3.136 0.000
0.736 0.276 7.588
```

calculated formation energy	0.46	eV/atom
energy above the lowest structure with this stoichiometry	0.264	eV per atom

2.
An optimized crystal structure of Ca2ZrRe. Source: Alexandria via LeMat-Bulk, functional GGA-PBE. Values from VASP.

The structure in Quantum ESPRESSO input format:
```
&SYSTEM
  ibrav = 0, nat = 4, ntyp = 3
/
ATOMIC_SPECIES
Re 186.21 Re.upf
Ca 40.08 Ca.upf
Zr 91.22 Zr.upf
ATOMIC_POSITIONS crystal
Re 0.500 0.500 0.000
Ca 0.000 0.000 0.000
Ca 0.250 0.750 0.500
Zr 0.750 0.250 0.500
CELL_PARAMETERS angstrom
5.033 -0.012 0.000
0.000 5.033 0.000
-2.516 -2.510 3.563
```

calculated formation energy	0.52	eV/atom
energy above the lowest structure with this stoichiometry	0.320	eV per atom

3.
An optimized crystal structure of CaZr2Re. Source: Alexandria via LeMat-Bulk, functional GGA-PBE. Values from VASP.

The structure in Quantum ESPRESSO input format:
```
&SYSTEM
  ibrav = 0, nat = 4, ntyp = 3
/
ATOMIC_SPECIES
Re 186.21 Re.upf
Ca 40.08 Ca.upf
Zr 91.22 Zr.upf
ATOMIC_POSITIONS crystal
Re 0.500 0.500 0.750
Ca 0.500 0.500 0.250
Zr 0.000 0.000 0.923
Zr 0.000 0.000 0.577
CELL_PARAMETERS angstrom
3.302 0.009 0.000
-0.013 3.302 0.000
0.000 0.000 9.113
```

calculated formation energy	0.04	eV/atom
energy above the lowest structure with this stoichiometry	0.000	eV per atom

4.
An optimized crystal structure of CaZrRe. Source: Alexandria via LeMat-Bulk, functional GGA-PBE. Values from VASP.

The structure in Quantum ESPRESSO input format:
```
&SYSTEM
  ibrav = 0, nat = 3, ntyp = 3
/
ATOMIC_SPECIES
Re 186.21 Re.upf
Ca 40.08 Ca.upf
Zr 91.22 Zr.upf
ATOMIC_POSITIONS crystal
Re 0.324 0.324 0.676
Ca 0.982 0.982 0.018
Zr 0.694 0.694 0.306
CELL_PARAMETERS angstrom
-0.183 0.753 7.852
0.605 -2.207 7.324
2.511 1.681 0.728
```

calculated formation energy	0.43	eV/atom
energy above the lowest structure with this stoichiometry	0.180	eV per atom

5.
An optimized crystal structure of CaZrRe2. Source: Alexandria via LeMat-Bulk, functional GGA-PBE. Values from VASP.

The structure in Quantum ESPRESSO input format:
```
&SYSTEM
  ibrav = 0, nat = 4, ntyp = 3
/
ATOMIC_SPECIES
Re 186.21 Re.upf
Ca 40.08 Ca.upf
Zr 91.22 Zr.upf
ATOMIC_POSITIONS crystal
Re 0.250 0.250 0.250
Re 0.750 0.750 0.750
Ca 0.000 0.000 0.000
Zr 0.500 0.500 0.500
CELL_PARAMETERS angstrom
0.000 3.357 3.357
3.357 0.000 3.357
3.357 3.357 0.000
```

calculated formation energy	0.66	eV/atom
energy above the lowest structure with this stoichiometry	0.459	eV per atom

6.
An optimized crystal structure of CaZr2Re. Source: Alexandria via LeMat-Bulk, functional GGA-PBE. Values from VASP.

The structure in Quantum ESPRESSO input format:
```
&SYSTEM
  ibrav = 0, nat = 4, ntyp = 3
/
ATOMIC_SPECIES
Re 186.21 Re.upf
Ca 40.08 Ca.upf
Zr 91.22 Zr.upf
ATOMIC_POSITIONS crystal
Re 0.250 0.750 0.500
Ca 0.750 0.250 0.500
Zr 0.046 0.046 0.000
Zr 0.454 0.454 0.000
CELL_PARAMETERS angstrom
5.874 -0.019 -0.002
2.372 5.374 0.002
-3.411 -3.775 2.936
```

calculated formation energy	0.20	eV/atom
energy above the lowest structure with this stoichiometry	0.162	eV per atom

7.
An optimized crystal structure of CaZr2Re. Source: Alexandria via LeMat-Bulk, functional GGA-PBE. Values from VASP.

The structure in Quantum ESPRESSO input format:
```
&SYSTEM
  ibrav = 0, nat = 4, ntyp = 3
/
ATOMIC_SPECIES
Re 186.21 Re.upf
Ca 40.08 Ca.upf
Zr 91.22 Zr.upf
ATOMIC_POSITIONS crystal
Re 0.500 0.500 0.500
Ca 0.000 0.000 0.000
Zr 0.250 0.250 0.250
Zr 0.750 0.750 0.750
CELL_PARAMETERS angstrom
0.000 3.479 3.479
3.479 0.000 3.479
3.479 3.479 0.000
```

calculated formation energy	0.23	eV/atom
energy above the lowest structure with this stoichiometry	0.189	eV per atom

8.
An optimized crystal structure of Ca2ZrRe. Source: Alexandria via LeMat-Bulk, functional GGA-PBE. Values from VASP.

The structure in Quantum ESPRESSO input format:
```
&SYSTEM
  ibrav = 0, nat = 4, ntyp = 3
/
ATOMIC_SPECIES
Re 186.21 Re.upf
Ca 40.08 Ca.upf
Zr 91.22 Zr.upf
ATOMIC_POSITIONS crystal
Re 0.750 0.750 0.750
Ca 0.091 0.091 0.909
Ca 0.409 0.409 0.591
Zr 0.250 0.250 0.250
CELL_PARAMETERS angstrom
8.899 -0.030 -0.044
8.300 3.211 -0.044
1.057 0.195 4.155
```

calculated formation energy	0.38	eV/atom
energy above the lowest structure with this stoichiometry	0.182	eV per atom